The following is a PBE calculation of an optimized crystal structure of NaDy4Cd5, from Alexandria.

Properties
SG   P4/mmm, No. 123

a = 3.7192 Å, b = 3.7192 Å, c = 18.9916 Å
α = 90.00°, β = 90.00°, γ = 90.00°
Atoms (fractional coordinates):
Na 0.0000 0.0000 0.0000
Dy 0.0000 0.0000 0.2019
Dy 0.0000 0.0000 0.4010
Dy 0.0000 0.0000 0.5990
Dy 0.0000 0.0000 0.7981
Cd 0.5000 0.5000 0.1047
Cd 0.5000 0.5000 0.3020
Cd 0.5000 0.5000 0.5000
Cd 0.5000 0.5000 0.6980
Cd 0.5000 0.5000 0.8953

The following is a PBE calculation of an optimized crystal structure of Na2DyCd, from Alexandria.

Properties
SG   R-3m, No. 166

a = 3.3562 Å, b = 3.3562 Å, c = 12.4510 Å
α = 82.25°, β = 82.25°, γ = 60.00°
Atoms (fractional coordinates):
Na 0.0915 0.0915 0.7256
Na 0.9085 0.9085 0.2744
Cd 0.5000 0.5000 0.5000
Dy 0.0000 0.0000 0.0000

The following is a PBE calculation of an optimized crystal structure of Na2DyCd5, from Alexandria.

Properties
SG   I4/mmm, No. 139

a = 4.6154 Å, b = 4.6154 Å, c = 9.8993 Å
α = 103.48°, β = 103.48°, γ = 90.00°
Atoms (fractional coordinates):
Na 0.7521 0.7521 0.5041
Na 0.2479 0.2479 0.4959
Dy 0.0000 0.0000 0.0000
Cd 0.5000 0.5000 0.0000
Cd 0.8781 0.3781 0.7562
Cd 0.3781 0.8781 0.7562
Cd 0.1219 0.6219 0.2438
Cd 0.6219 0.1219 0.2438

The following is a PBE calculation of an optimized crystal structure of NaNdDyCd, from Alexandria.

Properties
SG   F-43m, No. 216

a = 5.4737 Å, b = 5.4737 Å, c = 5.4737 Å
α = 60.00°, β = 60.00°, γ = 60.00°
Site moments in Bohr magnetons follow the coordinates.
Atoms (fractional coordinates):
Na 0.2500 0.2500 0.2500  0.01
Cd 0.7500 0.7500 0.7500  0.01
Nd 0.0000 0.0000 0.0000  0.16
Dy 0.5000 0.5000 0.5000  0.22

What formation energy values result from the calculations? In sequence: -2.603; 0.706; -1.124; 0.099 eV/f.u..